# PBE Ac4TbSm2, relaxed
data_Ac4TbSm2
_cell_length_a 8.9224
_cell_length_b 21.1400
_cell_length_c 12.2360
_cell_angle_alpha 90.00
_cell_angle_beta 90.00
_cell_angle_gamma 90.00
_symmetry_space_group_name_H-M 'F d d 2'
_symmetry_Int_Tables_number 43
_symmetry_space_group_name_Hall 'F 2 -2d'
loop_
_atom_site_label
_atom_site_type_symbol
_atom_site_fract_x
_atom_site_fract_y
_atom_site_fract_z
Ac1 Ac 0.1141 0.3332 0.0000
Ac2 Ac 0.1200 0.0834 0.2487
Tb1 Tb 0.0000 0.0000 0.9993
Sm1 Sm 0.0846 0.2503 0.7474
# Energy of formation from the pure elements: 1.8 eV per formula unit
# E: -4.105 eV per atom
# Mass density: 7.87 g/cm3



# PBE AcTb5Sm2, relaxed
data_AcTb5Sm2
_cell_length_a 7.2566
_cell_length_b 14.5135
_cell_length_c 10.2835
_cell_angle_alpha 90.00
_cell_angle_beta 90.00
_cell_angle_gamma 90.00
_symmetry_space_group_name_H-M 'P b a m'
_symmetry_Int_Tables_number 55
loop_
_symmetry_equiv_pos_as_xyz
'x,y,z'
'-x,-y,-z'
'-x,-y,z'
'x,y,-z'
'x+1/2,-y+1/2,-z'
'-x+1/2,y+1/2,z'
'-x+1/2,y+1/2,-z'
'x+1/2,-y+1/2,z'
loop_
_atom_site_label
_atom_site_type_symbol
_atom_site_fract_x
_atom_site_fract_y
_atom_site_fract_z
Ac1 Ac 0.2483 0.1263 0.0000
Tb1 Tb 0.0000 0.0000 0.2565
Tb2 Tb 0.0016 0.7504 0.2574
Tb3 Tb 0.2491 0.3747 0.5000
Tb4 Tb 0.2485 0.3755 0.0000
Sm1 Sm 0.0000 0.5000 0.2557
Sm2 Sm 0.2489 0.1249 0.5000
# Energy of formation from the pure elements: 0.3 eV per formula unit
# E: -4.553 eV per atom
# Mass density: 8.11 g/cm3



# PBE Ac2Tb5Sm6, relaxed
data_Ac2Tb5Sm6
_cell_length_a 12.0469
_cell_length_b 20.6151
_cell_length_c 3.6920
_cell_angle_alpha 90.00
_cell_angle_beta 90.00
_cell_angle_gamma 90.00
_symmetry_space_group_name_H-M 'P b a m'
_symmetry_Int_Tables_number 55
loop_
_symmetry_equiv_pos_as_xyz
'x,y,z'
'-x,-y,-z'
'-x,-y,z'
'x,y,-z'
'x+1/2,-y+1/2,-z'
'-x+1/2,y+1/2,z'
'-x+1/2,y+1/2,-z'
'x+1/2,-y+1/2,z'
loop_
_atom_site_label
_atom_site_type_symbol
_atom_site_fract_x
_atom_site_fract_y
_atom_site_fract_z
Ac1 Ac 0.1636 0.2205 0.0000
Tb1 Tb 0.0000 0.5000 0.5000
Tb2 Tb 0.0973 0.7818 0.5000
Tb3 Tb 0.2010 0.0535 0.5000
Sm1 Sm 0.0587 0.9248 0.0000
Sm2 Sm 0.0751 0.6371 0.0000
Sm3 Sm 0.1811 0.3802 0.5000
# Energy of formation from the pure elements: 1.5 eV per formula unit
# E: -4.479 eV per atom
# Mass density: 7.79 g/cm3



# PBE Ac6Tb5Sm2, relaxed
data_Ac6Tb5Sm2
_cell_length_a 11.3750
_cell_length_b 23.6992
_cell_length_c 3.7508
_cell_angle_alpha 90.00
_cell_angle_beta 90.00
_cell_angle_gamma 90.00
_symmetry_space_group_name_H-M 'P b a m'
_symmetry_Int_Tables_number 55
loop_
_symmetry_equiv_pos_as_xyz
'x,y,z'
'-x,-y,-z'
'-x,-y,z'
'x,y,-z'
'x+1/2,-y+1/2,-z'
'-x+1/2,y+1/2,z'
'-x+1/2,y+1/2,-z'
'x+1/2,-y+1/2,z'
loop_
_atom_site_label
_atom_site_type_symbol
_atom_site_fract_x
_atom_site_fract_y
_atom_site_fract_z
Ac1 Ac 0.0213 0.1117 0.0000
Ac2 Ac 0.1491 0.3869 0.0000
Ac3 Ac 0.1649 0.6322 0.5000
Tb1 Tb 0.0000 0.5000 0.5000
Tb2 Tb 0.0876 0.2504 0.5000
Tb3 Tb 0.1656 0.9960 0.5000
Sm1 Sm 0.1623 0.7684 0.0000
# Energy of formation from the pure elements: 2.2 eV per formula unit
# E: -4.232 eV per atom
# Mass density: 8.07 g/cm3



# PBE AcTb2Sm4, relaxed
data_AcTb2Sm4
_cell_length_a 6.9864
_cell_length_b 8.6740
_cell_length_c 9.4732
_cell_angle_alpha 65.15
_cell_angle_beta 71.39
_cell_angle_gamma 76.53
_symmetry_space_group_name_H-M 'P 1'
_symmetry_Int_Tables_number 1
loop_
_symmetry_equiv_pos_as_xyz
'x,y,z'
loop_
_atom_site_label
_atom_site_type_symbol
_atom_site_fract_x
_atom_site_fract_y
_atom_site_fract_z
Ac1 Ac 0.0000 0.0000 0.0000
Ac2 Ac 0.4726 0.8920 0.1317
Tb1 Tb 0.1361 0.5564 0.2988
Tb2 Tb 0.1853 0.7520 0.5594
Tb3 Tb 0.3375 0.3349 0.8337
Tb4 Tb 0.8568 0.4250 0.7174
Sm1 Sm 0.0425 0.1859 0.2717
Sm2 Sm 0.2869 0.1382 0.5728
Sm3 Sm 0.4317 0.7041 0.8591
Sm4 Sm 0.5639 0.2852 0.1514
Sm5 Sm 0.6178 0.4681 0.4152
Sm6 Sm 0.7168 0.8468 0.4408
Sm7 Sm 0.7576 0.0432 0.6916
Sm8 Sm 0.9107 0.6069 0.9791
# Energy of formation from the pure elements: 0.3 eV per formula unit
# Energy above the lowest structure with this stoichiometry: 0.00 kcal/mol of atoms
# E: -4.566 eV per atom
# Mass density: 7.76 g/cm3



# PBE Ac2Tb15Sm2, relaxed
data_Ac2Tb15Sm2
_cell_length_a 11.3877
_cell_length_b 11.3877
_cell_length_c 17.6254
_cell_angle_alpha 90.00
_cell_angle_beta 90.00
_cell_angle_gamma 120.00
_symmetry_space_group_name_H-M 'R -3 m'
_symmetry_Int_Tables_number 166
_symmetry_space_group_name_Hall '-R 3 2"'
loop_
_atom_site_label
_atom_site_type_symbol
_atom_site_fract_x
_atom_site_fract_y
_atom_site_fract_z
Ac1 Ac 0.0000 0.0000 0.1141
Tb1 Tb 0.0000 0.3063 0.0000
Tb2 Tb 0.0000 0.5000 0.5000
Tb3 Tb 0.0181 0.5090 0.1385
Sm1 Sm 0.0000 0.0000 0.3332
# Energy of formation from the pure elements: 5.3 eV per formula unit
# E: -4.304 eV per atom
# Mass density: 7.90 g/cm3



# PBE Ac8TbSm3, relaxed
data_Ac8TbSm3
_cell_length_a 9.3090
_cell_length_b 9.3090
_cell_length_c 12.8475
_cell_angle_alpha 90.00
_cell_angle_beta 90.00
_cell_angle_gamma 90.00
_symmetry_space_group_name_H-M 'I -4 2 m'
_symmetry_Int_Tables_number 121
_symmetry_space_group_name_Hall 'I -4 2'
loop_
_atom_site_label
_atom_site_type_symbol
_atom_site_fract_x
_atom_site_fract_y
_atom_site_fract_z
Ac1 Ac 0.1309 0.1309 0.2479
Ac2 Ac 0.2491 0.2491 0.9967
Tb1 Tb 0.0000 0.0000 0.0000
Sm1 Sm 0.0000 0.0000 0.5000
Sm2 Sm 0.0000 0.5000 0.2500
# Energy of formation from the pure elements: 7.2 eV per formula unit
# E: -3.705 eV per atom
# Mass density: 7.24 g/cm3



# PBE Ac12Tb3Sm, relaxed
data_Ac12Tb3Sm
_cell_length_a 5.5005
_cell_length_b 5.5005
_cell_length_c 21.9598
_cell_angle_alpha 90.00
_cell_angle_beta 90.00
_cell_angle_gamma 90.00
_symmetry_space_group_name_H-M 'P 4/m m m'
_symmetry_Int_Tables_number 123
_symmetry_space_group_name_Hall '-P 4 2'
loop_
_atom_site_label
_atom_site_type_symbol
_atom_site_fract_x
_atom_site_fract_y
_atom_site_fract_z
Ac1 Ac 0.0000 0.0000 0.0000
Ac2 Ac 0.0000 0.0000 0.2495
Ac3 Ac 0.0000 0.0000 0.5000
Ac4 Ac 0.0000 0.5000 0.1248
Ac5 Ac 0.0000 0.5000 0.3743
Tb1 Tb 0.5000 0.5000 0.0000
Tb2 Tb 0.5000 0.5000 0.2495
Sm1 Sm 0.5000 0.5000 0.5000
# Energy of formation from the pure elements: 0.5 eV per formula unit
# E: -4.212 eV per atom
# Mass density: 8.38 g/cm3



# PBE Ac2Tb5Sm12, relaxed
data_Ac2Tb5Sm12
_cell_length_a 8.8396
_cell_length_b 8.8427
_cell_length_c 9.5508
_cell_angle_alpha 70.22
_cell_angle_beta 69.84
_cell_angle_gamma 82.80
_symmetry_space_group_name_H-M 'P -1'
_symmetry_Int_Tables_number 2
loop_
_symmetry_equiv_pos_as_xyz
'x,y,z'
'-x,-y,-z'
loop_
_atom_site_label
_atom_site_type_symbol
_atom_site_fract_x
_atom_site_fract_y
_atom_site_fract_z
Ac1 Ac 0.2350 0.2645 0.4990
Tb1 Tb 0.1945 0.6909 0.2589
Tb2 Tb 0.3108 0.8098 0.8302
Tb3 Tb 0.5000 0.0000 0.0000
Sm1 Sm 0.0671 0.0522 0.2995
Sm2 Sm 0.0760 0.5780 0.7243
Sm3 Sm 0.1075 0.1730 0.9236
Sm4 Sm 0.3274 0.3917 0.0733
Sm5 Sm 0.3730 0.8716 0.4428
Sm6 Sm 0.4442 0.4363 0.6974
# Energy of formation from the pure elements: 2.3 eV per formula unit
# Energy above the lowest structure with this stoichiometry: 0.07 kcal/mol of atoms
# E: -4.512 eV per atom
# Mass density: 7.69 g/cm3



# PBE AcTb3Sm3, relaxed
data_AcTb3Sm3
_cell_length_a 14.1928
_cell_length_b 14.3625
_cell_length_c 10.0958
_cell_angle_alpha 90.00
_cell_angle_beta 90.99
_cell_angle_gamma 90.00
_symmetry_space_group_name_H-M 'C 1 m 1'
_symmetry_Int_Tables_number 8
loop_
_symmetry_equiv_pos_as_xyz
'x,y,z'
'x,-y,z'
'x+1/2,y+1/2,z'
'x+1/2,-y+1/2,z'
loop_
_atom_site_label
_atom_site_type_symbol
_atom_site_fract_x
_atom_site_fract_y
_atom_site_fract_z
Ac1 Ac 0.0000 0.0000 0.0000
Ac2 Ac 0.1372 0.0000 0.3929
Ac3 Ac 0.3716 0.3722 0.2552
Tb1 Tb 0.1103 0.1261 0.7388
Tb2 Tb 0.1106 0.3757 0.7420
Tb3 Tb 0.2217 0.5000 0.4901
Tb4 Tb 0.2336 0.2495 0.4923
Tb5 Tb 0.3598 0.1233 0.2399
Tb6 Tb 0.4779 0.2437 0.9775
Tb7 Tb 0.4865 0.0000 0.9907
Sm1 Sm 0.1063 0.3698 0.2415
Sm2 Sm 0.2308 0.2452 0.9923
Sm3 Sm 0.2455 0.0000 0.9865
Sm4 Sm 0.3544 0.1228 0.7329
Sm5 Sm 0.3610 0.3755 0.7323
Sm6 Sm 0.4771 0.0000 0.4874
Sm7 Sm 0.4880 0.2429 0.5011
# Energy of formation from the pure elements: 1.5 eV per formula unit
# Energy above the lowest structure with this stoichiometry: 3.97 kcal/mol of atoms
# E: -4.383 eV per atom
# Mass density: 7.46 g/cm3



# PBE AcTb2Sm8, relaxed
data_AcTb2Sm8
_cell_length_a 5.6111
_cell_length_b 8.4637
_cell_length_c 16.1847
_cell_angle_alpha 90.00
_cell_angle_beta 90.00
_cell_angle_gamma 90.00
_symmetry_space_group_name_H-M 'I m m m'
_symmetry_Int_Tables_number 71
_symmetry_space_group_name_Hall '-I 2 2'
loop_
_atom_site_label
_atom_site_type_symbol
_atom_site_fract_x
_atom_site_fract_y
_atom_site_fract_z
Ac1 Ac 0.0000 0.0000 0.0000
Tb1 Tb 0.0000 0.0000 0.3002
Sm1 Sm 0.0000 0.2021 0.5000
Sm2 Sm 0.0000 0.2973 0.1450
Sm3 Sm 0.0000 0.5000 0.3390
# Energy of formation from the pure elements: 1.4 eV per formula unit
# E: -4.521 eV per atom
# Mass density: 7.55 g/cm3



# PBE Ac4TbSm, relaxed
data_Ac4TbSm
_cell_length_a 10.1103
_cell_length_b 10.1103
_cell_length_c 10.1103
_cell_angle_alpha 90.00
_cell_angle_beta 90.00
_cell_angle_gamma 90.00
_symmetry_space_group_name_H-M 'F -4 3 m'
_symmetry_Int_Tables_number 216
_symmetry_space_group_name_Hall 'F -4 2 3'
loop_
_atom_site_label
_atom_site_type_symbol
_atom_site_fract_x
_atom_site_fract_y
_atom_site_fract_z
Ac1 Ac 0.1253 0.1253 0.1253
Tb1 Tb 0.0000 0.0000 0.5000
Sm1 Sm 0.2500 0.2500 0.7500
# Energy of formation from the pure elements: 2.2 eV per formula unit
# Energy above the lowest structure with this stoichiometry: 7.34 kcal/mol of atoms
# E: -3.933 eV per atom
# Mass density: 7.82 g/cm3



Which of these has the highest E? Ac8TbSm3



Which of these has the highest mass density? Ac12Tb3Sm



Repeat the third record exactly.
# PBE Ac2Tb5Sm6, relaxed
data_Ac2Tb5Sm6
_cell_length_a 12.0469
_cell_length_b 20.6151
_cell_length_c 3.6920
_cell_angle_alpha 90.00
_cell_angle_beta 90.00
_cell_angle_gamma 90.00
_symmetry_space_group_name_H-M 'P b a m'
_symmetry_Int_Tables_number 55
loop_
_symmetry_equiv_pos_as_xyz
'x,y,z'
'-x,-y,-z'
'-x,-y,z'
'x,y,-z'
'x+1/2,-y+1/2,-z'
'-x+1/2,y+1/2,z'
'-x+1/2,y+1/2,-z'
'x+1/2,-y+1/2,z'
loop_
_atom_site_label
_atom_site_type_symbol
_atom_site_fract_x
_atom_site_fract_y
_atom_site_fract_z
Ac1 Ac 0.1636 0.2205 0.0000
Tb1 Tb 0.0000 0.5000 0.5000
Tb2 Tb 0.0973 0.7818 0.5000
Tb3 Tb 0.2010 0.0535 0.5000
Sm1 Sm 0.0587 0.9248 0.0000
Sm2 Sm 0.0751 0.6371 0.0000
Sm3 Sm 0.1811 0.3802 0.5000
# Energy of formation from the pure elements: 1.5 eV per formula unit
# E: -4.479 eV per atom
# Mass density: 7.79 g/cm3